Entry from the Alexandria database: crystalline Si2AgPb at its relaxed geometry (PBE).

symmetry: No. 10
magnetic moment: 0.000 μB/atom
formation energy without anion corrections: 0.3598 eV per atom

Geometry as POSCAR:
```
Si2AgPb
1.0
4.472 0.000 0.000
0.000 3.983 -0.028
0.000 0.477 5.062
Ag Pb Si
1 1 2
direct
0.500 0.250 0.250 Ag
0.500 0.750 0.750 Pb
0.000 0.496 0.395 Si
0.000 0.004 0.105 Si
```